(1)
The following is a DFT calculation (PBE-GGA) of a relaxed structure of Nd4AlSn3.

abc: 4.6724 4.3453 11.7036
angles: 90.00 90.00 90.00
Sites, in units of the cell vectors:
Sn: 0.5000 0.0000 0.9224
Al: 0.5000 0.5000 0.0794
Nd: 0.5000 0.0000 0.6381
Sn: 0.0000 0.5000 0.5891
Nd: 0.0000 0.0000 0.1363
Nd: 0.5000 0.5000 0.3570
Nd: 0.0000 0.5000 0.8651
Sn: 0.0000 0.0000 0.4125



(2)
The following is a DFT calculation (PBE-GGA) of a relaxed structure of Nd12AlSn3.

abc: 4.9447 4.9447 19.7428
angles: 90.00 90.00 90.00
Sites, in units of the cell vectors:
Al: 0.0000 0.0000 0.0000
Nd: 0.5000 0.5000 0.7509
Nd: 0.0000 0.5000 0.3747
Sn: 0.0000 0.0000 0.7520
Sn: 0.0000 0.0000 0.5000
Nd: 0.5000 0.0000 0.3747
Nd: 0.0000 0.5000 0.1231
Nd: 0.5000 0.5000 0.0000
Nd: 0.5000 0.0000 0.6253
Nd: 0.5000 0.5000 0.2491
Nd: 0.5000 0.0000 0.1231
Nd: 0.0000 0.5000 0.8769
Sn: 0.0000 0.0000 0.2480
Nd: 0.5000 0.0000 0.8769
Nd: 0.0000 0.5000 0.6253
Nd: 0.5000 0.5000 0.5000



Number 1: energy of formation -0.69 eV/atom, volume 237.6 Å³ per cell. Number 2: energy of formation -0.38 eV/atom, volume 482.7 Å³ per cell.